Entry from Alexandria via LeMat-Bulk: crystalline TiCoP2O8 at its relaxed geometry (PBEsol).

abc: 4.8435 5.8297 9.8091
angles: 90.00 90.46 90.00
Atoms (fractional coordinates):
Ti (0.0353, 0.2500, 0.2283)
Ti (0.9647, 0.7500, 0.7717)
Co (0.4628, 0.2500, 0.7290)
Co (0.5372, 0.7500, 0.2710)
P (0.0699, 0.7500, 0.0973)
P (0.3882, 0.7500, 0.5942)
P (0.6118, 0.2500, 0.4058)
P (0.9301, 0.2500, 0.9027)
O (0.1487, 0.7500, 0.9450)
O (0.2135, 0.5414, 0.1711)
O (0.2135, 0.9586, 0.1711)
O (0.2358, 0.5482, 0.6696)
O (0.2358, 0.9518, 0.6696)
O (0.2407, 0.2500, 0.8896)
O (0.3037, 0.2500, 0.3680)
O (0.3448, 0.7500, 0.4424)
O (0.6552, 0.2500, 0.5576)
O (0.6963, 0.7500, 0.6320)
O (0.7593, 0.7500, 0.1104)
O (0.7642, 0.0482, 0.3304)
O (0.7642, 0.4518, 0.3304)
O (0.7865, 0.0414, 0.8289)
O (0.7865, 0.4586, 0.8289)
O (0.8513, 0.2500, 0.0550)

Output
N(E_F)	0.635	states/eV/atom
distance to the lowest polymorph of the same formula	0.000	eV per atom
energy	-7.95	eV/atom
formation energy without anion corrections	-2.148	eV per atom

=====

Entry from Alexandria via LeMat-Bulk: crystalline HgTeCl2 at its relaxed geometry (PBEsol).

abc: 7.9892 7.9892 7.9892
angles: 29.94 29.94 29.94
Atoms (fractional coordinates):
Hg (0.0000, 0.0000, 0.0000)
Te (0.7408, 0.7408, 0.7408)
Cl (0.2718, 0.2718, 0.2718)
Cl (0.4824, 0.4824, 0.4824)

Output
N(E_F)	0.533	states/eV/atom
distance to the lowest polymorph of the same formula	0.000	eV per atom
energy	-2.10	eV/atom
formation energy without anion corrections	-0.077	eV per atom

=====

Entry from Alexandria via LeMat-Bulk: crystalline ZrFe2W at its relaxed geometry (PBEsol).

abc: 2.7231 2.7231 8.0302
angles: 90.00 90.00 105.98
Atoms (fractional coordinates):
Zr (0.0000, 0.0000, 0.0000)
Fe (0.5000, 0.5000, 0.2649)
Fe (0.5000, 0.5000, 0.7351)
W (0.0000, 0.0000, 0.5000)

Output
N(E_F)	0.931	states/eV/atom
energy of formation	0.2032	eV/atom
energy	-10.00	eV/atom

=====

Entry from Alexandria via LeMat-Bulk: crystalline Mg5Tl at its relaxed geometry (PBEsol).

abc: 5.8483 5.8483 5.1494
angles: 90.00 90.00 120.00
Atoms (fractional coordinates):
Mg (0.0000, 0.5000, 0.0000)
Mg (0.3333, 0.6667, 0.5000)
Mg (0.5000, 0.0000, 0.0000)
Mg (0.5000, 0.5000, 0.0000)
Mg (0.6667, 0.3333, 0.5000)
Tl (0.0000, 0.0000, 0.5000)

Output
N(E_F)	0.371	states/eV/atom
distance to the lowest polymorph of the same formula	0.171	eV per atom
energy of formation	0.1295	eV/atom
energy	-1.74	eV/atom

=====

Entry from Alexandria via LeMat-Bulk: crystalline Ba4Sr3 at its relaxed geometry (PBEsol).

abc: 16.9046 16.9046 16.9046
angles: 163.57 163.57 23.31
Atoms (fractional coordinates):
Ba (0.0714, 0.0714, 0.0000)
Ba (0.3548, 0.3548, 0.0000)
Ba (0.6452, 0.6452, 0.0000)
Ba (0.9286, 0.9286, 0.0000)
Sr (0.2161, 0.2161, 0.0000)
Sr (0.5000, 0.5000, 0.0000)
Sr (0.7839, 0.7839, 0.0000)

Output
N(E_F)	1.240	states/eV/atom
distance to the lowest polymorph of the same formula	0.000	eV per atom
energy of formation	0.0036	eV/atom
energy	-2.01	eV/atom

=====

Entry from Alexandria via LeMat-Bulk: crystalline TlAgAs2 at its relaxed geometry (PBEsol).

abc: 6.5733 6.5733 6.5733
angles: 147.35 144.08 49.32
Atoms (fractional coordinates):
Tl (0.0000, 0.0000, 0.0000)
Ag (0.7079, 0.2079, 0.5000)
As (0.2142, 0.7142, 0.5000)
As (0.3677, 0.3677, 0.0000)

Output
N(E_F)	0.490	states/eV/atom
energy of formation	0.1714	eV/atom
energy	-3.87	eV/atom

=====

Entry from Alexandria via LeMat-Bulk: crystalline Zr2HgAsN at its relaxed geometry (PBEsol).

abc: 4.4262 4.4262 4.4568
angles: 90.00 90.00 90.00
Atoms (fractional coordinates):
Zr (0.0000, 0.5000, 0.0000)
Zr (0.5000, 0.0000, 0.0000)
Hg (0.0000, 0.0000, 0.5000)
As (0.5000, 0.5000, 0.5000)
N (0.5000, 0.5000, 0.0000)

Output
N(E_F)	0.612	states/eV/atom
energy	-6.98	eV/atom
formation energy without anion corrections	-0.505	eV per atom

=====

Entry from Alexandria via LeMat-Bulk: crystalline ZrCrIr4 at its relaxed geometry (PBEsol).

abc: 5.1395 5.1395 5.1395
angles: 60.00 60.00 60.00
Atoms (fractional coordinates):
Zr (0.0000, 0.0000, 0.0000)
Cr (0.2500, 0.2500, 0.2500)
Ir (0.1265, 0.6245, 0.6245)
Ir (0.6245, 0.1265, 0.6245)
Ir (0.6245, 0.6245, 0.1265)
Ir (0.6245, 0.6245, 0.6245)

Output
N(E_F)	1.063	states/eV/atom
energy of formation	-0.1783	eV/atom
energy	-9.95	eV/atom

=====

Entry from Alexandria via LeMat-Bulk: crystalline LaNdAl6 at its relaxed geometry (PBEsol).

abc: 6.4958 6.4958 4.6147
angles: 90.00 90.00 120.00
Atoms (fractional coordinates):
La (0.0000, 0.0000, 0.0000)
Nd (0.6667, 0.3333, 0.5000)
Al (0.0498, 0.5249, 0.0000)
Al (0.1928, 0.3856, 0.5000)
Al (0.1928, 0.8072, 0.5000)
Al (0.4751, 0.5249, 0.0000)
Al (0.4751, 0.9502, 0.0000)
Al (0.6144, 0.8072, 0.5000)

Output
N(E_F)	0.395	states/eV/atom
energy of formation	-0.4419	eV/atom
energy	-4.82	eV/atom

=====

Entry from Alexandria via LeMat-Bulk: crystalline KSn3 at its relaxed geometry (PBEsol).

abc: 7.1921 7.1921 5.4544
angles: 90.00 90.00 120.00
Atoms (fractional coordinates):
K (0.3333, 0.6667, 0.2500)
K (0.6667, 0.3333, 0.7500)
Sn (0.1410, 0.2819, 0.7500)
Sn (0.1410, 0.8590, 0.7500)
Sn (0.2819, 0.1410, 0.2500)
Sn (0.7181, 0.8590, 0.7500)
Sn (0.8590, 0.1410, 0.2500)
Sn (0.8590, 0.7181, 0.2500)

Output
N(E_F)	0.241	states/eV/atom
energy of formation	-0.1476	eV/atom
energy	-3.63	eV/atom

=====

Entry from Alexandria via LeMat-Bulk: crystalline InCuOs2 at its relaxed geometry (PBEsol).

abc: 4.6859 4.6859 4.8298
angles: 100.64 100.64 34.80
Atoms (fractional coordinates):
In (0.0000, 0.0000, 0.0000)
Cu (0.5000, 0.5000, 0.5000)
Os (0.2436, 0.2436, 0.7229)
Os (0.7564, 0.7564, 0.2771)

Output
N(E_F)	0.788	states/eV/atom
energy of formation	0.4533	eV/atom
energy	-7.48	eV/atom

=====

Entry from Alexandria via LeMat-Bulk: crystalline ZnCr3Au at its relaxed geometry (PBEsol).

abc: 4.9001 4.9001 4.9001
angles: 90.00 90.00 90.00
Atoms (fractional coordinates):
Zn (0.0000, 0.0000, 0.0000)
Cr (0.0000, 0.5000, 0.5000)
Cr (0.5000, 0.0000, 0.5000)
Cr (0.5000, 0.5000, 0.0000)
Au (0.5000, 0.5000, 0.5000)

Output
N(E_F)	0.764	states/eV/atom
distance to the lowest polymorph of the same formula	0.124	eV per atom
energy of formation	1.5859	eV/atom
energy	-5.66	eV/atom